# BaNdY4Se8 (PBE, optimized geometry)
# * uncorrected formation energy: -1787 meV/atom
data_BaNdY4Se8
_space_group_name_H-M_alt 'R 3 m'
_space_group_IT_number 160
_space_group_name_Hall 'R 3 -2"'
_cell_length_a 8.6193
_cell_length_b 8.6193
_cell_length_c 21.4397
_cell_angle_alpha 90.00
_cell_angle_beta 90.00
_cell_angle_gamma 120.00
loop_
_atom_site_label
_atom_site_type_symbol
_atom_site_fract_x
_atom_site_fract_y
_atom_site_fract_z
_atom_site_occupancy
Ba1 Ba 0.0000 0.0000 0.0000 1
Nd1 Nd 0.0000 0.0000 0.6291 1
Y1 Y 0.0000 0.0000 0.2528 1
Y2 Y 0.1684 0.3369 0.4602 1
Se1 Se 0.0000 0.0000 0.3848 1
Se2 Se 0.0000 0.0000 0.8593 1
Se3 Se 0.0406 0.5203 0.3860 1
Se4 Se 0.1739 0.3478 0.2061 1

# Ba3NdY3Se8 (PBE, optimized geometry)
# * uncorrected formation energy: -1929 meV/atom
data_Ba3NdY3Se8
_space_group_name_H-M_alt 'R -3 m'
_space_group_IT_number 166
_space_group_name_Hall '-R 3 2"'
_cell_length_a 8.4830
_cell_length_b 8.4830
_cell_length_c 22.5468
_cell_angle_alpha 90.00
_cell_angle_beta 90.00
_cell_angle_gamma 120.00
loop_
_atom_site_label
_atom_site_type_symbol
_atom_site_fract_x
_atom_site_fract_y
_atom_site_fract_z
_atom_site_occupancy
Ba1 Ba 0.0000 0.5000 0.0000 1
Nd1 Nd 0.0000 0.0000 0.5000 1
Y1 Y 0.0000 0.5000 0.5000 1
Se1 Se 0.0000 0.0000 0.2379 1
Se2 Se 0.0094 0.5047 0.7614 1

# Ba2NdZnSe5 (PBE, optimized geometry)
# * uncorrected formation energy: -1534 meV/atom
data_Ba2NdZnSe5
_space_group_name_H-M_alt 'C m c 21'
_space_group_IT_number 36
_cell_length_a 4.401
_cell_length_b 18.126
_cell_length_c 13.735
_cell_angle_alpha 90.00
_cell_angle_beta 90.00
_cell_angle_gamma 90.00
loop_
_space_group_symop_operation_xyz
'x,y,z'
'-x,-y,z+1/2'
'-x,y,z'
'x,-y,z+1/2'
'x+1/2,y+1/2,z'
'-x+1/2,-y+1/2,z+1/2'
'-x+1/2,y+1/2,z'
'x+1/2,-y+1/2,z+1/2'
loop_
_atom_site_label
_atom_site_type_symbol
_atom_site_fract_x
_atom_site_fract_y
_atom_site_fract_z
_atom_site_occupancy
Ba1 Ba 0.000 0.115 0.000 1
Ba2 Ba 0.000 0.132 0.661 1
Nd1 Nd 0.000 0.179 0.335 1
Zn1 Zn 0.000 0.462 0.731 1
Se1 Se 0.000 0.014 0.318 1
Se2 Se 0.000 0.320 0.983 1
Se3 Se 0.000 0.326 0.682 1
Se4 Se 0.000 0.336 0.335 1
Se5 Se 0.000 0.484 0.065 1

# BaNdSi4 (PBE, optimized geometry)
# * uncorrected formation energy: -431 meV/atom
data_BaNdSi4
_space_group_name_H-M_alt 'P -1'
_space_group_IT_number 2
_cell_length_a 4.302
_cell_length_b 7.969
_cell_length_c 9.088
_cell_angle_alpha 69.94
_cell_angle_beta 90.00
_cell_angle_gamma 74.36
loop_
_space_group_symop_operation_xyz
'x,y,z'
'-x,-y,-z'
loop_
_atom_site_label
_atom_site_type_symbol
_atom_site_fract_x
_atom_site_fract_y
_atom_site_fract_z
_atom_site_occupancy
Ba1 Ba 0.119 0.263 0.178 1
Nd1 Nd 0.127 0.245 0.680 1
Si1 Si 0.289 0.923 0.027 1
Si2 Si 0.292 0.915 0.516 1
Si3 Si 0.449 0.602 0.133 1
Si4 Si 0.460 0.579 0.593 1

# BaNd4Si4 (PBE, optimized geometry)
# * uncorrected formation energy: -462 meV/atom
data_BaNd4Si4
_space_group_name_H-M_alt 'P 42/n'
_space_group_IT_number 86
_cell_length_a 9.811
_cell_length_b 9.811
_cell_length_c 5.899
_cell_angle_alpha 90.00
_cell_angle_beta 90.00
_cell_angle_gamma 90.00
loop_
_space_group_symop_operation_xyz
'x,y,z'
'-x,-y,-z'
'-y,x+1/2,z+1/2'
'y,-x+1/2,-z+1/2'
'-x+1/2,-y+1/2,z'
'x+1/2,y+1/2,-z'
'y+1/2,-x,z+1/2'
'-y+1/2,x,-z+1/2'
loop_
_atom_site_label
_atom_site_type_symbol
_atom_site_fract_x
_atom_site_fract_y
_atom_site_fract_z
_atom_site_occupancy
Ba1 Ba 0.250 0.250 0.250 1
Nd1 Nd 0.116 0.630 0.126 1
Si1 Si 0.066 0.568 0.633 1

# BaNd2Sm (PBE, optimized geometry)
# * formation energy from the elements: 0.12 eV/atom
# * offset from the most stable computed form: 13 meV/atom
data_BaNd2Sm
_space_group_name_H-M_alt 'R 3 m'
_space_group_IT_number 160
_space_group_name_Hall 'R 3 -2"'
_cell_length_a 3.8030
_cell_length_b 3.8030
_cell_length_c 37.5565
_cell_angle_alpha 90.00
_cell_angle_beta 90.00
_cell_angle_gamma 120.00
loop_
_atom_site_label
_atom_site_type_symbol
_atom_site_fract_x
_atom_site_fract_y
_atom_site_fract_z
_atom_site_occupancy
Ba1 Ba 0.0000 0.0000 0.0000 1
Nd1 Nd 0.0000 0.0000 0.4233 1
Nd2 Nd 0.0000 0.0000 0.5763 1
Sm1 Sm 0.0000 0.0000 0.8334 1

Number 1: size of the total moment 0.0000 μB per atom. Number 2: size of the total moment 0.0000 μB per atom. Number 3: size of the total moment 0.0977 μB per atom. Number 4: size of the total moment 0.0000 μB per atom. Number 5: size of the total moment 0.0000 μB per atom. Number 6: size of the total moment 0.0000 μB per atom.